1.
Crystalline SiTc2Ru at its relaxed geometry, computed with PBE-GGA.

Output
Calculated volume = 13.91 A^3/atom
Formation energy from raw total energies = -0.113 eV per atom
Symmetry = C2/m

a b c (Å): 4.756 4.756 4.466
angles (deg): 80.08 80.08 34.05
Positions (direct):
Ru (0.750, 0.750, 0.750)
Tc (0.499, 0.499, 0.499)
Tc (0.001, 0.001, 0.001)
Si (0.250, 0.250, 0.250)

***

2.
Crystalline Rb2TaAlBr6 at its relaxed geometry, computed with PBE-GGA.

Output
Calculated volume = 35.39 A^3/atom
Formation energy from raw total energies = -0.964 eV per atom
Symmetry = Fm-3m

a b c (Å): 7.940 7.940 7.939
angles (deg): 60.00 60.00 90.00
Each line ends with the local moment (μB).
Positions (direct):
Br (0.235, 0.235, 0.000)  0.00
Br (0.235, 0.765, 0.000)  0.00
Rb (0.250, 0.750, 0.500)  0.00
Al (0.500, 0.500, 0.000)  0.00
Ta (0.000, 0.000, 0.000)  1.34
Br (0.235, 0.235, 0.529)  0.00
Br (0.765, 0.765, 0.000)  0.00
Br (0.765, 0.235, 0.000)  0.00
Br (0.765, 0.765, 0.471)  0.00
Rb (0.750, 0.250, 0.500)  0.00

***

3.
Crystalline PmZn3Pt at its relaxed geometry, computed with PBE-GGA.

Output
Calculated volume = 18.51 A^3/atom
ΔE_f = -2.82 eV per formula unit
Symmetry = P2_1/m

a b c (Å): 5.677 5.492 5.944
angles (deg): 90.00 87.14 90.00
Positions (direct):
Pm (0.662, 0.750, 0.331)
Pm (0.338, 0.250, 0.669)
Zn (0.126, 0.750, 0.555)
Zn (0.874, 0.250, 0.445)
Pt (0.572, 0.250, 0.137)
Zn (0.825, 0.998, 0.831)
Zn (0.825, 0.502, 0.831)
Zn (0.175, 0.002, 0.169)
Zn (0.175, 0.498, 0.169)
Pt (0.428, 0.750, 0.863)

***

no.,N(E_F) (states/eV per atom)
1,0.80
2,0.83
3,0.31